A plane-wave DFT calculation with PBE was carried out for Ba2LiZn after structural relaxation.

- space group = F-43m

abc: 5.638 5.638 5.638
angles: 60.00 60.00 60.00
Atoms (fractional coordinates):
Ba 0.000 0.000 0.000
Ba 0.250 0.250 0.250
Li 0.500 0.500 0.500
Zn 0.750 0.750 0.750

=====

A plane-wave DFT calculation with PBE was carried out for BaLuMg after structural relaxation.

- magnetic moment (μB per formula unit) = 0.02
- space group = F-43m

abc: 5.549 5.549 5.549
angles: 60.00 60.00 60.00
Atoms (fractional coordinates):
Ba 0.000 0.000 0.000
Lu 0.750 0.750 0.750
Mg 0.250 0.250 0.250

=====

A plane-wave DFT calculation with PBE was carried out for BaLuMg after structural relaxation.

- magnetic moment (μB per formula unit) = 0.03
- space group = F-43m

abc: 5.621 5.621 5.621
angles: 60.00 60.00 60.00
Atoms (fractional coordinates):
Ba 0.000 0.000 0.000
Lu 0.500 0.500 0.500
Mg 0.250 0.250 0.250

=====

A plane-wave DFT calculation with PBE was carried out for BaLuMgS3 after structural relaxation.

- magnetic moment (μB per formula unit) = 0.29
- space group = Cmcm

abc: 7.296 7.296 10.286
angles: 90.00 90.00 147.85
Atoms (fractional coordinates):
Ba 0.245 0.755 0.750
Ba 0.755 0.245 0.250
Lu 0.500 0.500 0.000
Lu 0.500 0.500 0.500
Mg 0.031 0.969 0.250
Mg 0.969 0.031 0.750
S 0.128 0.872 0.058
S 0.128 0.872 0.442
S 0.433 0.567 0.250
S 0.567 0.433 0.750
S 0.872 0.128 0.558
S 0.872 0.128 0.942

=====

A plane-wave DFT calculation with PBE was carried out for BaLuMgTe3 after structural relaxation.

- magnetic moment (μB per formula unit) = 0.47
- space group = Cmcm

abc: 8.092 8.092 11.344
angles: 90.00 90.00 147.85
Atoms (fractional coordinates):
Ba 0.239 0.761 0.750
Ba 0.761 0.239 0.250
Lu 0.000 0.000 0.000
Lu 0.000 0.000 0.500
Mg 0.472 0.528 0.250
Mg 0.528 0.472 0.750
Te 0.082 0.918 0.250
Te 0.368 0.632 0.052
Te 0.368 0.632 0.448
Te 0.632 0.368 0.552
Te 0.632 0.368 0.948
Te 0.918 0.082 0.750

=====

A plane-wave DFT calculation with PBE was carried out for BaLuMo after structural relaxation.

- magnetic moment (μB per formula unit) = 3.09
- space group = F-43m

abc: 5.162 5.162 5.162
angles: 60.00 60.00 60.00
Atoms (fractional coordinates):
Ba 0.000 0.000 0.000
Lu 0.750 0.750 0.750
Mo 0.250 0.250 0.250

=====

A plane-wave DFT calculation with PBE was carried out for BaLuMo after structural relaxation.

- magnetic moment (μB per formula unit) = 1.11
- space group = F-43m

abc: 5.096 5.096 5.096
angles: 60.00 60.00 60.00
Atoms (fractional coordinates):
Ba 0.000 0.000 0.000
Lu 0.500 0.500 0.500
Mo 0.250 0.250 0.250

=====

A plane-wave DFT calculation with PBE was carried out for BaLuNO after structural relaxation.

- magnetic moment (μB per formula unit) = 0.00
- space group = P4/nmm

abc: 4.653 4.653 7.386
angles: 90.00 90.00 90.00
Atoms (fractional coordinates):
Ba 0.250 0.750 0.000
Ba 0.750 0.250 0.000
Lu 0.250 0.250 0.441
Lu 0.750 0.750 0.559
N 0.250 0.250 0.166
N 0.750 0.750 0.834
O 0.250 0.750 0.500
O 0.750 0.250 0.500

=====

A plane-wave DFT calculation with PBE was carried out for BaLuNO after structural relaxation.

- magnetic moment (μB per formula unit) = 0.00
- space group = C2/m

abc: 4.658 4.658 7.345
angles: 90.23 90.23 90.01
Atoms (fractional coordinates):
Ba 0.248 0.752 0.000
Ba 0.752 0.248 0.000
Lu 0.250 0.250 0.559
Lu 0.750 0.750 0.441
N 0.253 0.253 0.835
N 0.747 0.747 0.165
O 0.250 0.750 0.500
O 0.750 0.250 0.500

=====

A plane-wave DFT calculation with PBE was carried out for BaLuNO after structural relaxation.

- magnetic moment (μB per formula unit) = 0.00
- space group = Pca2_1

abc: 6.811 8.260 5.793
angles: 90.00 90.00 90.00
Atoms (fractional coordinates):
Ba 0.073 0.148 0.000
Ba 0.427 0.148 0.500
Ba 0.573 0.852 0.000
Ba 0.927 0.852 0.500
Lu 0.088 0.605 0.995
Lu 0.412 0.605 0.495
Lu 0.588 0.395 0.995
Lu 0.912 0.395 0.495
N 0.108 0.586 0.619
N 0.392 0.586 0.119
N 0.608 0.414 0.619
N 0.892 0.414 0.119
O 0.040 0.158 0.539
O 0.460 0.158 0.039
O 0.540 0.842 0.539
O 0.960 0.842 0.039

=====

A plane-wave DFT calculation with PBE was carried out for BaLuNO after structural relaxation.

- magnetic moment (μB per formula unit) = 0.00
- space group = P4/nmm

abc: 4.510 4.510 8.819
angles: 90.00 90.00 90.00
Atoms (fractional coordinates):
Ba 0.250 0.250 0.126
Ba 0.750 0.750 0.874
Lu 0.250 0.750 0.500
Lu 0.750 0.250 0.500
N 0.250 0.250 0.534
N 0.750 0.750 0.466
O 0.250 0.750 0.000
O 0.750 0.250 0.000

=====

A plane-wave DFT calculation with PBE was carried out for BaLuNO after structural relaxation.

- magnetic moment (μB per formula unit) = 0.00
- space group = Pmc2_1

abc: 3.881 7.025 6.118
angles: 90.00 90.00 90.00
Atoms (fractional coordinates):
Ba 0.000 0.182 0.000
Ba 0.000 0.818 0.500
Lu 0.500 0.346 0.506
Lu 0.500 0.654 0.006
N 0.500 0.380 0.852
N 0.500 0.620 0.352
O 0.000 0.204 0.444
O 0.000 0.796 0.944

=====

Number 1: DFT total energy -6.8 eV for the cell shown. Number 2: DFT total energy -5.6 eV for the cell shown. Number 3: DFT total energy -6.6 eV for the cell shown. Number 4: DFT total energy -60.7 eV for the cell shown. Number 5: DFT total energy -49.1 eV for the cell shown. Number 6: DFT total energy -12.0 eV for the cell shown. Number 7: DFT total energy -13.8 eV for the cell shown. Number 8: DFT total energy -53.4 eV for the cell shown. Number 9: DFT total energy -53.4 eV for the cell shown. Number 10: DFT total energy -111.6 eV for the cell shown. Number 11: DFT total energy -52.3 eV for the cell shown. Number 12: DFT total energy -55.1 eV for the cell shown.